Pr3Al2Sn4: relaxed, PBE.

Results
V (Å³/cell): 503
Uncorrected energy (eV/atom): -4.75
D(E_F) (states/eV/f.u.): 4.07

Unit cell a=16.3859 b=4.6386 c=7.1343 alpha=90.00 beta=111.99 gamma=90.00
With the nearest neighbours (Å) after each atom.
Space group C2/m (No. 12)
One atom of each set of equivalent atoms:
Pr  0.0000  0.0000  0.0000 x2  6 Sn 3.15-3.22
Pr  0.1347  0.0000  0.6162 x4  7 Sn 3.30-3.53, 3 Al 3.39-3.49
Al  0.1621  0.5000  0.9805 x4  4 Sn 2.83-2.96
Sn  0.0124  0.5000  0.3077 x4  1 Al 2.83, 1 Sn 2.92, 2 Pr 3.15
Sn  0.2112  0.0000  0.2253 x4  3 Al 2.83-2.96

***

SnCSI2: relaxed, PBE.

Results
V (Å³/cell): 157
Formation energy from raw total energies (eV/atom): 1.37
D(E_F) (states/eV/f.u.): 3.32

Unit cell a=6.0809 b=6.0809 c=4.2530 alpha=90.00 beta=90.00 gamma=90.00
With the nearest neighbours (Å) after each atom.
Space group P4/mmm (No. 123)
One atom of each set of equivalent atoms:
Sn  0.0000  0.0000  0.0000 x1  2 C 2.13
C  0.0000  0.0000  0.5000 x1  2 Sn 2.13
S  0.5000  0.5000  0.5000 x1  8 I 3.71
I  0.0000  0.5000  0.0000 x2  2 Sn 3.04

***

Pm5ScCd6: relaxed, PBE.

Results
V (Å³/cell): 652
Uncorrected energy (eV/atom): -3.27
D(E_F) (states/eV/f.u.): 14.61

Unit cell a=5.3183 b=16.0388 c=7.6378 alpha=90.00 beta=90.00 gamma=90.00
With the nearest neighbours (Å) after each atom.
Space group Cmmm (No. 65)
One atom of each set of equivalent atoms:
Pm  0.0000  0.0000  0.0000 x2  8 Cd 3.24-3.33
Pm  0.0000  0.3289  0.0000 x4  8 Cd 3.33-3.40, 2 Pm 3.67
Pm  0.0000  0.3342  0.5000 x4  8 Cd 3.22-3.35
Sc  0.0000  0.0000  0.5000 x2  8 Cd 3.14-3.22
Cd  0.0000  0.1591  0.2606 x8  1 Sc 3.14, 7 Pm 3.23-3.37
Cd  0.0000  0.5000  0.2625 x4  6 Pm 3.22-3.40, 2 Sc 3.22

***

Sr2AgOsC: relaxed, PBE.

Results
V (Å³/cell): 164
Uncorrected energy (eV/atom): -3.64
D(E_F) (states/eV/f.u.): 3.69

Unit cell a=5.7469 b=5.7469 c=4.9763 alpha=90.00 beta=90.00 gamma=90.00
With the nearest neighbours (Å) after each atom.
Space group P4/mmm (No. 123)
One atom of each set of equivalent atoms:
Sr  0.0000  0.5000  0.0000 x2  2 Os 2.87
Ag  0.0000  0.0000  0.5000 x1  2 Os 2.49
Os  0.0000  0.0000  0.0000 x1  2 Ag 2.49
C  0.5000  0.5000  0.5000 x1  8 Sr 3.80, 4 Ag 4.06